HfCdP2S: PBEsol geometry, SCAN.

**Polymorph energy (0 for the lowest one)**: 0.000 eV/f.u.
**Formation energy from raw total energies**: 17 kJ/mol of formula units

Cell lengths 4.978, 4.978, 4.783 Å; angles 90.00, 90.00, 90.00 degrees
Space group P4/mmm (No. 123)
Unique sites:
1 Hf 0.000 0.000 0.000
2 Cd 0.500 0.500 0.500
3 P 0.000 0.500 0.000
4 S 0.000 0.000 0.500

Na2Cu5Si4O14: PBEsol geometry, SCAN.

**Formation energy from raw total energies**: -4885 kJ/mol of formula units

Cell lengths 5.784, 7.771, 8.010 Å; angles 63.68, 87.18, 69.15 degrees
Space group P-1 (No. 2)
Unique sites:
1 Na 0.228 0.135 0.058
2 Cu 0.190 0.430 0.230
3 Cu 0.416 0.396 0.679
4 Cu 0.500 0.000 0.500
5 Si 0.013 0.240 0.636
6 Si 0.311 0.785 0.912
7 O 0.063 0.004 0.798
8 O 0.090 0.365 0.733
9 O 0.193 0.218 0.477
10 O 0.200 0.604 0.974
11 O 0.283 0.643 0.448
12 O 0.425 0.805 0.080
13 O 0.486 0.202 0.243